A PBEsol-optimized structure of TbCdPt2, computed with SCAN.

SG = Fm-3m, No. 225

The structure in CIF format:
```
data_TbCdPt2
_cell_length_a 4.727
_cell_length_b 4.727
_cell_length_c 4.727
_cell_angle_alpha 60.00
_cell_angle_beta 60.00
_cell_angle_gamma 60.00
_symmetry_space_group_name_H-M 'P 1'
_symmetry_Int_Tables_number 1
_symmetry_space_group_name_Hall 'P 1'
loop_
_atom_site_label
_atom_site_fract_x
_atom_site_fract_y
_atom_site_fract_z
Tb1 0.000 0.000 0.000
Cd1 0.500 0.500 0.500
Pt1 0.250 0.250 0.250
Pt2 0.750 0.750 0.750
```



A PBEsol-optimized structure of Cd2TcPt, computed with SCAN.

SG = I4/mmm, No. 139

The structure in CIF format:
```
data_Cd2TcPt
_cell_length_a 4.826
_cell_length_b 4.826
_cell_length_c 4.826
_cell_angle_alpha 128.24
_cell_angle_beta 128.24
_cell_angle_gamma 76.24
_symmetry_space_group_name_H-M 'P 1'
_symmetry_Int_Tables_number 1
_symmetry_space_group_name_Hall 'P 1'
loop_
_atom_site_label
_atom_site_fract_x
_atom_site_fract_y
_atom_site_fract_z
Cd1 0.250 0.750 0.500
Cd2 0.750 0.250 0.500
Tc1 0.000 0.000 0.000
Pt1 0.500 0.500 0.000
```



A PBEsol-optimized structure of CdTcPt2, computed with SCAN.

SG = P4/mmm, No. 123

The structure in CIF format:
```
data_CdTcPt2
_cell_length_a 2.763
_cell_length_b 2.763
_cell_length_c 8.088
_cell_angle_alpha 90.00
_cell_angle_beta 90.00
_cell_angle_gamma 90.00
_symmetry_space_group_name_H-M 'P 1'
_symmetry_Int_Tables_number 1
_symmetry_space_group_name_Hall 'P 1'
loop_
_atom_site_label
_atom_site_fract_x
_atom_site_fract_y
_atom_site_fract_z
Cd1 0.000 0.000 0.000
Tc1 0.000 0.000 0.500
Pt1 0.500 0.500 0.270
Pt2 0.500 0.500 0.730
```



A PBEsol-optimized structure of CdTcPt2, computed with SCAN.

SG = P4mm, No. 99

The structure in CIF format:
```
data_CdTcPt2
_cell_length_a 3.211
_cell_length_b 3.211
_cell_length_c 6.151
_cell_angle_alpha 90.00
_cell_angle_beta 90.00
_cell_angle_gamma 90.00
_symmetry_space_group_name_H-M 'P 1'
_symmetry_Int_Tables_number 1
_symmetry_space_group_name_Hall 'P 1'
loop_
_atom_site_label
_atom_site_fract_x
_atom_site_fract_y
_atom_site_fract_z
Cd1 0.000 0.000 0.000
Tc1 0.500 0.500 0.714
Pt1 0.000 0.000 0.508
Pt2 0.500 0.500 0.259
```



no.,E_form (eV per atom)
1,-0.918
2,0.201
3,-0.276
4,0.094